# 1
DFT (PBE) results for SrMn2NiS8 after structural relaxation.

Cell: 5.6953 5.6953 9.0061 Å, 71.57 71.57 60.00°
With the nearest neighbours (Å) after each atom.
Atoms (fractional coordinates):
Mn  0.2500  0.2500  0.2501  4 S 2.06
Mn  0.7500  0.7500  0.7499  4 S 2.06
S  0.0518  0.3901  0.8481  1 Mn 2.06
S  0.7100  0.0518  0.8481  1 Mn 2.06
S  0.1681  0.1681  0.4958  1 Mn 2.06
S  0.6099  0.2900  0.1519  1 Mn 2.06
S  0.8319  0.8319  0.5042  1 Mn 2.06
S  0.9482  0.6099  0.1519  1 Mn 2.06
S  0.2900  0.9482  0.1519  1 Mn 2.06
S  0.3901  0.7100  0.8481  1 Mn 2.06
Sr  0.5000  0.5000  0.5000  12 S 3.29-3.47
Ni  0.0000  0.0000  0.0000  6 S 2.32

Calculated values
The density of states at the Fermi level comes out at 2.22 states/eV per cell. The calculation puts the total magnetization at 0.00 μB per formula unit. The value obtained for the uncorrected formation energy is -552 kJ/mol of formula units. Its volume is 235.5 Å³/f.u. Its space-group type is No. 148.



# 2
DFT (PBE) results for TaMnNiS2 after structural relaxation.

Cell: 4.3089 4.3610 4.3089 Å, 90.00 90.00 90.00°
With the nearest neighbours (Å) after each atom.
Atoms (fractional coordinates):
S  0.5000  0.0000  0.0000  2 Mn 2.15
S  0.0000  0.0000  0.5000  2 Mn 2.15
Ta  0.5000  0.5000  0.5000  4 Ni 3.05, 8 S 3.07
Ni  0.0000  0.5000  0.0000  2 Mn 2.18
Mn  0.0000  0.0000  0.0000  4 S 2.15, 2 Ni 2.18

Calculated values
The density of states at the Fermi level comes out at 3.17 states/eV per cell. The calculation puts the total magnetization at 3.84 μB per formula unit. The value obtained for the uncorrected formation energy is 307 kJ/mol of formula units. Its volume is 81.0 Å³/f.u. Its space-group type is No. 123.



# 3
DFT (PBE) results for MnNiTeS after structural relaxation.

Cell: 3.8651 3.8651 6.8974 Å, 89.94 106.33 120.02°
With the nearest neighbours (Å) after each atom.
Atoms (fractional coordinates):
Te  0.4926  0.6310  0.1235  3 Ni 2.48
Mn  0.0687  0.4181  0.4868  3 S 2.42, 3 Ni 2.57
Ni  0.2708  0.0197  0.2906  1 S 2.21
S  0.4969  0.1320  0.6289  1 Ni 2.21, 3 Mn 2.42

Calculated values
The density of states at the Fermi level comes out at 2.23 states/eV per cell. The calculation puts the total magnetization at 3.48 μB per formula unit. The value obtained for the uncorrected formation energy is -133 kJ/mol of formula units. Its volume is 84.4 Å³/f.u. Its space-group type is No. 160.



# 4
DFT (PBE) results for Ti2Mn2NiS6 after structural relaxation.

Cell: 6.0762 6.0762 6.1854 Å, 99.51 99.51 120.79°
With the nearest neighbours (Å) after each atom.
Atoms (fractional coordinates):
Ti  0.3287  0.6713  0.5000  6 S 2.46-2.51
Ti  0.6713  0.3287  0.5000  6 S 2.46-2.51
S  0.0838  0.4143  0.7471  2 Ti 2.46-2.48, 1 Ni 2.47, 2 Mn 2.50-2.51
S  0.5857  0.9162  0.2529  2 Ti 2.46-2.48, 1 Ni 2.47, 2 Mn 2.50-2.51
S  0.7632  0.7632  0.7310  1 Ni 2.33, 2 Ti 2.51, 2 Mn 2.52
S  0.4143  0.0838  0.7471  2 Ti 2.46-2.48, 1 Ni 2.47, 2 Mn 2.50-2.51
S  0.2368  0.2368  0.2690  1 Ni 2.33, 2 Ti 2.51, 2 Mn 2.52
S  0.9162  0.5857  0.2529  2 Ti 2.46-2.48, 1 Ni 2.47, 2 Mn 2.50-2.51
Mn  0.1671  0.8329  0.0000  6 S 2.50-2.52
Mn  0.8329  0.1671  0.0000  6 S 2.50-2.52
Ni  0.0000  0.0000  0.5000  6 S 2.33-2.47

Calculated values
The density of states at the Fermi level comes out at 5.13 states/eV per cell. The calculation puts the total magnetization at 6.17 μB per formula unit. The value obtained for the uncorrected formation energy is -873 kJ/mol of formula units. Its volume is 184.9 Å³/f.u. Its space-group type is No. 12.



# 5
DFT (PBE) results for UMnNiS4 after structural relaxation.

Cell: 7.2623 7.1823 7.1823 Å, 64.08 59.63 59.63°
With the nearest neighbours (Å) after each atom.
Atoms (fractional coordinates):
S  0.7427  0.2511  0.7511  1 Ni 2.25, 1 Mn 2.46
S  0.2637  0.2165  0.2561  1 Ni 2.25
S  0.7363  0.2439  0.2835  1 Ni 2.25
S  0.7450  0.7489  0.2489  1 Ni 2.25, 1 Mn 2.46
S  0.7363  0.7835  0.7439  1 Ni 2.25
S  0.2573  0.7489  0.2489  1 Ni 2.25, 1 Mn 2.46
S  0.2550  0.2511  0.7511  1 Ni 2.25, 1 Mn 2.46
S  0.2637  0.7561  0.7165  1 Ni 2.25
U  0.0000  0.0000  0.0000  6 S 2.58-2.66
U  0.0000  0.5000  0.5000  6 S 2.58-2.66
Mn  0.5000  0.0000  0.5000  6 S 2.46-2.53
Mn  0.0000  0.0000  0.5000  6 S 2.46-2.53
Ni  0.6426  0.6074  0.1074  4 S 2.25
Ni  0.3574  0.3926  0.8926  4 S 2.25

Calculated values
The density of states at the Fermi level comes out at 10.18 states/eV per cell. The calculation puts the total magnetization at 5.01 μB per formula unit. The value obtained for the uncorrected formation energy is -557 kJ/mol of formula units. Its volume is 135.2 Å³/f.u. Its space-group type is No. 74.



# 6
DFT (PBE) results for UMnNiS3 after structural relaxation.

Cell: 3.6623 7.2495 8.0939 Å, 102.70 90.00 90.00°
With the nearest neighbours (Å) after each atom.
Atoms (fractional coordinates):
Mn  0.2500  0.6713  0.1723  6 S 2.51-2.58
Mn  0.7500  0.3287  0.8277  6 S 2.51-2.58
S  0.2500  0.7586  0.4898  3 Ni 2.28-2.40, 1 Mn 2.51
S  0.2500  0.5744  0.8454  3 Mn 2.54-2.58, 2 U 2.72
S  0.7500  0.2414  0.5102  3 Ni 2.28-2.40, 1 Mn 2.51
S  0.7500  0.4256  0.1546  3 Mn 2.54-2.58, 2 U 2.72
S  0.7500  0.9088  0.1319  1 Ni 2.24
S  0.2500  0.0912  0.8681  1 Ni 2.24
U  0.7500  0.8125  0.7550  7 S 2.72-2.98, 1 Ni 3.02
U  0.2500  0.1875  0.2450  7 S 2.72-2.98, 1 Ni 3.02
Ni  0.7500  0.9042  0.4081  4 S 2.24-2.40
Ni  0.2500  0.0958  0.5919  4 S 2.24-2.40

Calculated values
The density of states at the Fermi level comes out at 10.43 states/eV per cell. The calculation puts the total magnetization at 3.02 μB per formula unit. The value obtained for the uncorrected formation energy is -501 kJ/mol of formula units. Its volume is 104.8 Å³/f.u. Its space-group type is No. 11.



# 7
DFT (PBE) results for Mn2V2NiS6 after structural relaxation.

Cell: 5.9344 5.9344 5.6141 Å, 90.35 90.35 119.92°
With the nearest neighbours (Å) after each atom.
Atoms (fractional coordinates):
Mn  0.6687  0.3313  0.0000  6 S 2.46
Mn  0.3313  0.6687  0.0000  6 S 2.46
V  0.6594  0.3406  0.5000  6 S 2.40-2.46
V  0.3406  0.6594  0.5000  6 S 2.40-2.46
S  0.3236  0.3236  0.2474  2 V 2.40, 1 Ni 2.40, 2 Mn 2.46
S  0.9991  0.3273  0.7409  1 Ni 2.36, 2 V 2.43-2.46, 2 Mn 2.46
S  0.3273  0.9991  0.7409  1 Ni 2.36, 2 V 2.43-2.46, 2 Mn 2.46
S  0.6764  0.6764  0.7526  2 V 2.40, 1 Ni 2.40, 2 Mn 2.46
S  0.6727  0.0009  0.2591  1 Ni 2.36, 2 V 2.43-2.46, 2 Mn 2.46
S  0.0009  0.6727  0.2591  1 Ni 2.36, 2 V 2.43-2.46, 2 Mn 2.46
Ni  0.0000  0.0000  0.5000  6 S 2.36-2.40

Calculated values
The density of states at the Fermi level comes out at 7.53 states/eV per cell. The calculation puts the total magnetization at 9.23 μB per formula unit. The value obtained for the uncorrected formation energy is -673 kJ/mol of formula units. Its volume is 171.4 Å³/f.u. Its space-group type is No. 12.



# 8
DFT (PBE) results for MnVNiS4 after structural relaxation.

Cell: 6.7092 6.8835 6.8835 Å, 60.76 60.83 60.83°
With the nearest neighbours (Å) after each atom.
Atoms (fractional coordinates):
Ni  0.6282  0.6218  0.1218  4 S 2.17-2.18
Ni  0.3718  0.3782  0.8782  4 S 2.17-2.18
V  0.0000  0.0000  0.5000  6 S 2.39
V  0.5000  0.0000  0.5000  6 S 2.39
Mn  0.0000  0.5000  0.5000  6 S 2.38-2.39
Mn  0.0000  0.0000  0.0000  6 S 2.38-2.39
S  0.2435  0.7629  0.7500  1 Ni 2.18, 2 V 2.39, 1 Mn 2.39
S  0.2486  0.2441  0.7441  1 Ni 2.17, 2 Mn 2.38, 1 V 2.39
S  0.2435  0.2500  0.2629  1 Ni 2.18, 2 V 2.39, 1 Mn 2.39
S  0.7514  0.7559  0.2559  1 Ni 2.17, 2 Mn 2.38, 1 V 2.39
S  0.7565  0.7500  0.7371  1 Ni 2.18, 2 V 2.39, 1 Mn 2.39
S  0.7565  0.2371  0.2500  1 Ni 2.18, 2 V 2.39, 1 Mn 2.39
S  0.2367  0.7559  0.2559  1 Ni 2.17, 2 Mn 2.38, 1 V 2.39
S  0.7633  0.2441  0.7441  1 Ni 2.17, 2 Mn 2.38, 1 V 2.39

Calculated values
The density of states at the Fermi level comes out at 5.53 states/eV per cell. The calculation puts the total magnetization at 4.02 μB per formula unit. The value obtained for the uncorrected formation energy is -466 kJ/mol of formula units. Its volume is 114.4 Å³/f.u. Its space-group type is No. 74.



# 9
DFT (PBE) results for MnZnNiS2 after structural relaxation.

Cell: 4.5867 4.6414 4.5867 Å, 90.00 90.00 90.00°
With the nearest neighbours (Å) after each atom.
Atoms (fractional coordinates):
S  0.0000  0.0000  0.5000  2 Zn 2.29
S  0.5000  0.0000  0.0000  2 Zn 2.29
Mn  0.0000  0.5000  0.0000  2 Zn 2.32
Zn  0.0000  0.0000  0.0000  4 S 2.29, 2 Mn 2.32
Ni  0.5000  0.5000  0.5000  4 Mn 3.24, 8 S 3.26

Calculated values
The density of states at the Fermi level comes out at 4.82 states/eV per cell. The calculation puts the total magnetization at 4.92 μB per formula unit. The value obtained for the uncorrected formation energy is 474 kJ/mol of formula units. Its volume is 97.6 Å³/f.u. Its space-group type is No. 123.



# 10
DFT (PBE) results for MnNi2Sb after structural relaxation.

Cell: 3.8009 3.8009 9.0091 Å, 77.82 77.82 90.00°
With the nearest neighbours (Å) after each atom.
Atoms (fractional coordinates):
Sb  0.0000  0.0000  0.0000  4 Ni 2.55, 4 Mn 2.69
Sb  0.7500  0.2500  0.5000  4 Ni 2.55, 4 Mn 2.69
Ni  0.6123  0.1250  0.2500  2 Mn 2.52, 2 Sb 2.55, 4 Ni 2.62-2.76
Ni  0.3750  0.3877  0.7500  2 Mn 2.52, 2 Sb 2.55, 4 Ni 2.62-2.76
Ni  0.1377  0.6250  0.2500  2 Mn 2.52, 2 Sb 2.55, 4 Ni 2.62-2.76
Ni  0.8750  0.8623  0.7500  2 Mn 2.52, 2 Sb 2.55, 4 Ni 2.62-2.76
Mn  0.5000  0.5000  0.0000  4 Ni 2.52, 4 Sb 2.69
Mn  0.2500  0.7500  0.5000  4 Ni 2.52, 4 Sb 2.69

Calculated values
The density of states at the Fermi level comes out at 5.68 states/eV per cell. The calculation puts the total magnetization at 3.57 μB per formula unit. The value obtained for the uncorrected formation energy is 94 kJ/mol of formula units. Its volume is 62.1 Å³/f.u. Its space-group type is No. 122.



# 11
DFT (PBE) results for MnNi2Sb after structural relaxation.

Cell: 3.2347 3.2603 5.4625 Å, 90.00 90.00 90.00°
With the nearest neighbours (Å) after each atom.
Atoms (fractional coordinates):
Mn  0.5000  0.5000  0.7500  8 Ni 2.62, 2 Sb 2.73
Ni  0.0000  0.0000  0.9818  1 Ni 2.53, 4 Mn 2.62, 4 Sb 2.72
Ni  0.0000  0.0000  0.5182  1 Ni 2.53, 4 Mn 2.62, 4 Sb 2.72
Sb  0.5000  0.5000  0.2500  8 Ni 2.72, 2 Mn 2.73

Calculated values
The density of states at the Fermi level comes out at 2.90 states/eV per cell. The calculation puts the total magnetization at 4.05 μB per formula unit. The value obtained for the uncorrected formation energy is -2 kJ/mol of formula units. Its volume is 57.6 Å³/f.u. Its space-group type is No. 47.



# 12
DFT (PBE) results for MnNiSb2 after structural relaxation.

Cell: 4.8265 4.8265 4.8265 Å, 60.00 60.00 60.00°
With the nearest neighbours (Å) after each atom.
Atoms (fractional coordinates):
Sb  0.2500  0.2500  0.2500  4 Mn 2.96, 4 Sb 2.96
Sb  0.0000  0.0000  0.0000  4 Sb 2.96, 4 Ni 2.96
Ni  0.7500  0.7500  0.7500  4 Sb 2.96, 4 Mn 2.96
Mn  0.5000  0.5000  0.5000  4 Sb 2.96, 4 Ni 2.96

Calculated values
The density of states at the Fermi level comes out at 2.99 states/eV per cell. The calculation puts the total magnetization at 4.02 μB per formula unit. The value obtained for the uncorrected formation energy is 192 kJ/mol of formula units. Its volume is 79.5 Å³/f.u. Its space-group type is No. 216.



Q: Among the records above, which one has the lowest density of states at the Fermi level?
A: SrMn2NiS8



Q: density of states at the Fermi level of number 2 (TaMnNiS2)?
A: 3.17 states/eV per cell



Q: Which formula does entry 3 have?
A: MnNiTeS